(1)
{
  "formula": "Y8Ho2Cd",
  "functional": "PBE",
  "state": "optimized geometry",
  "e_above_lowest_polymorph_mev_per_atom": 123,
  "total_energy_ev_per_cell": -60.69,
  "m_tot_mub_per_cell": 0.00,
  "sg": "C2/m",
  "cell": [[9.225, -3.412, 0.000], [9.225, 3.412, 0.000], [-0.181, 0.000, 5.698]],
  "species": ["Y", "Y", "Y", "Y", "Y", "Y", "Y", "Y", "Ho", "Ho", "Cd"],
  "fractional_positions": [[0.050, 0.050, 0.235], [0.111, 0.636, 0.255], [0.324, 0.324, 0.766], [0.364, 0.889, 0.745], [0.636, 0.111, 0.255], [0.676, 0.676, 0.234], [0.889, 0.364, 0.745], [0.950, 0.950, 0.765], [0.219, 0.219, 0.259], [0.781, 0.781, 0.741], [0.500, 0.500, 0.000]]
}

(2)
{
  "formula": "YHo5Cd3",
  "functional": "PBE",
  "state": "optimized geometry",
  "total_energy_ev_per_cell": -67.67,
  "m_tot_mub_per_cell": 0.00,
  "sg": "P6_3/mcm",
  "cell": [[9.137, 0.000, 0.000], [-4.568, 7.913, 0.000], [0.000, 0.000, 6.920]],
  "species": ["Y", "Y", "Ho", "Ho", "Ho", "Ho", "Ho", "Ho", "Ho", "Ho", "Ho", "Ho", "Cd", "Cd", "Cd", "Cd", "Cd", "Cd"],
  "fractional_positions": [[0.000, 0.000, 0.000], [0.000, 0.000, 0.500], [0.000, 0.335, 0.250], [0.000, 0.665, 0.750], [0.333, 0.667, 0.000], [0.333, 0.667, 0.500], [0.335, 0.000, 0.250], [0.335, 0.335, 0.750], [0.665, 0.000, 0.750], [0.665, 0.665, 0.250], [0.667, 0.333, 0.000], [0.667, 0.333, 0.500], [0.000, 0.332, 0.750], [0.000, 0.668, 0.250], [0.332, 0.000, 0.750], [0.332, 0.332, 0.250], [0.668, 0.000, 0.250], [0.668, 0.668, 0.750]]
}

Copy entry 2 word for word.
{
  "formula": "YHo5Cd3",
  "functional": "PBE",
  "state": "optimized geometry",
  "total_energy_ev_per_cell": -67.67,
  "m_tot_mub_per_cell": 0.00,
  "sg": "P6_3/mcm",
  "cell": [[9.137, 0.000, 0.000], [-4.568, 7.913, 0.000], [0.000, 0.000, 6.920]],
  "species": ["Y", "Y", "Ho", "Ho", "Ho", "Ho", "Ho", "Ho", "Ho", "Ho", "Ho", "Ho", "Cd", "Cd", "Cd", "Cd", "Cd", "Cd"],
  "fractional_positions": [[0.000, 0.000, 0.000], [0.000, 0.000, 0.500], [0.000, 0.335, 0.250], [0.000, 0.665, 0.750], [0.333, 0.667, 0.000], [0.333, 0.667, 0.500], [0.335, 0.000, 0.250], [0.335, 0.335, 0.750], [0.665, 0.000, 0.750], [0.665, 0.665, 0.250], [0.667, 0.333, 0.000], [0.667, 0.333, 0.500], [0.000, 0.332, 0.750], [0.000, 0.668, 0.250], [0.332, 0.000, 0.750], [0.332, 0.332, 0.250], [0.668, 0.000, 0.250], [0.668, 0.668, 0.750]]
}